A geometry-optimized Li4SnPb5 structure, computed with PBE.

abc: 16.2218 4.8004 6.5478
angles: 90.00 104.50 90.00
Space group C2/m (No. 12)
Inequivalent atoms, fractional coordinates:
1 Li 0.0902 0.0000 0.3207 (multiplicity 4)
2 Li 0.1909 0.5000 0.1294 (multiplicity 4)
3 Sn 0.0000 0.5000 0.0000 (multiplicity 2)
4 Pb 0.0000 0.5000 0.5000 (multiplicity 2)
5 Pb 0.1107 0.0000 0.8489 (multiplicity 4)
6 Pb 0.2146 0.5000 0.6313 (multiplicity 4)



A geometry-optimized Sr2Li4Sn3Pb structure, computed with PBE.

abc: 4.7533 4.7533 11.3216
angles: 90.00 90.00 90.00
Space group P-4m2 (No. 115)
Inequivalent atoms, fractional coordinates:
1 Sr 0.0000 0.5000 0.2376 (multiplicity 2)
2 Li 0.0000 0.0000 0.0000 (multiplicity 1)
3 Li 0.0000 0.5000 0.6415 (multiplicity 2)
4 Li 0.5000 0.5000 0.0000 (multiplicity 1)
5 Sn 0.0000 0.5000 0.8804 (multiplicity 2)
6 Sn 0.5000 0.5000 0.5000 (multiplicity 1)
7 Pb 0.0000 0.0000 0.5000 (multiplicity 1)



A geometry-optimized SrLiSnPb structure, computed with PBE.

abc: 8.1601 4.6978 6.8448
angles: 90.00 113.34 90.00
Space group Cm (No. 8)
Inequivalent atoms, fractional coordinates:
1 Sr 0.0000 0.0000 0.0000 (multiplicity 2)
2 Li 0.1992 0.0000 0.5934 (multiplicity 2)
3 Sn 0.0560 0.5000 0.6649 (multiplicity 2)
4 Pb 0.2943 0.5000 0.3798 (multiplicity 2)



Result set for spin magnetization: 0.00 0.00 0.00 μB per cell, one per record in the order listed.
Result set for E_form: -1.98 -4.03 -1.42 eV per formula unit, one per record in the order listed.